CuSbAs | SCAN | PBEsol geometry

abc: 3.270 3.270 5.960
angles: 105.92 105.92 90.00
Fractional positions:
As: 0.051 0.051 0.102
Cu: 0.641 0.641 0.283
Sb: 0.308 0.308 0.615

Polymorph energy (0 for the lowest one) ... 0.0 meV/atom
Formation energy without anion corrections ... 25.01 kJ/mol of atoms
Total moment ... 0.00 μB/atom

=====

CuSbAs2 | SCAN | PBEsol geometry

abc: 5.742 5.742 7.075
angles: 113.94 113.94 90.00
Fractional positions:
As: 0.423 0.875 0.250
As: 0.625 0.577 0.750
As: 0.827 0.375 0.250
As: 0.125 0.173 0.750
Cu: 0.750 0.250 0.500
Cu: 0.500 0.500 0.000
Sb: 0.250 0.750 0.500
Sb: 0.000 0.000 0.000

Formation energy without anion corrections ... 5.62 kJ/mol of atoms
Total moment ... 0.00 μB/atom

=====

N(E_F) for every record listed, in sequence, given in states/eV per cell: 1.19, 0.92.